Entry 1:
HoP2IrRh2 | GGA-PBE | optimized geometry

Summary:
Calculated volume (Å³ per cell): 110
Space group: P4/mmm, No. 123
DFT formation energy (eV per atom): -0.24
Crystal system: tetragonal

Lattice parameters (Å, degrees): 4.4734 4.4734 5.4772 90.00 90.00 90.00
Closest atoms and distances in Å follow each position.
Sites, in units of the cell vectors:
Rh1 0.5000 0.5000 0.7477  4 P 2.63, 2 Rh 2.71-2.76
Ir1 0.0000 0.0000 0.0000  4 P 2.24
P1 0.0000 0.5000 0.0000  2 Ir 2.24
Rh2 0.5000 0.5000 0.2523  4 P 2.63, 2 Rh 2.71-2.76
P2 0.5000 0.0000 0.0000  2 Ir 2.24
Ho1 0.0000 0.0000 0.5000  2 Ir 2.74

Entry 2:
Sr3Mg4Cd4 | GGA-PBE | optimized geometry

Summary:
Calculated volume (Å³ per cell): 327
Space group: C2/m, No. 12
DFT formation energy (eV per atom): -0.21
Crystal system: monoclinic

Lattice parameters (Å, degrees): 4.1883 4.9733 16.0295 80.72 82.48 89.99
Closest atoms and distances in Å follow each position.
Sites, in units of the cell vectors:
Mg1 0.7448 0.7462 0.5103  4 Cd 2.95-3.05, 4 Mg 3.25-3.28
Mg2 0.2552 0.2538 0.4897  4 Cd 2.95-3.05, 4 Mg 3.25-3.28
Cd1 0.5484 0.5478 0.9037  2 Mg 2.90, 1 Cd 3.02
Cd2 0.3109 0.8107 0.3772  5 Mg 2.92-3.05
Sr1 0.1462 0.6472 0.7074  6 Cd 3.50-3.72, 6 Mg 3.61-3.73
Cd3 0.6891 0.1893 0.6228  5 Mg 2.92-3.05
Cd4 0.4516 0.4522 0.0963  2 Mg 2.90, 1 Cd 3.02
Mg3 0.4049 0.9030 0.1910  3 Cd 2.90-2.92
Sr2 0.8538 0.3528 0.2926  6 Cd 3.50-3.72, 6 Mg 3.61-3.73
Mg4 0.5952 0.0970 0.8090  3 Cd 2.90-2.92
Sr3 0.0000 0.0000 0.0000  8 Cd 3.58-3.59, 4 Mg 3.65-3.66

Entry 3:
TiSbRu2 | GGA-PBE | optimized geometry

Summary:
Calculated volume (Å³ per cell): 64
E (eV per cell): -31.757
Space group: P4/mmm, No. 123
Crystal system: tetragonal

Lattice parameters (Å, degrees): 3.2182 3.2182 6.2081 90.00 90.00 90.00
Closest atoms and distances in Å follow each position.
Sites, in units of the cell vectors:
Ru1 0.0000 0.0000 0.2380  4 Ti 2.71, 4 Sb 2.80, 1 Ru 2.96
Sb1 0.5000 0.5000 0.5000  8 Ru 2.80, 2 Ti 3.10
Ti1 0.5000 0.5000 0.0000  8 Ru 2.71
Ru2 0.0000 0.0000 0.7620  4 Ti 2.71, 4 Sb 2.80, 1 Ru 2.96

Entry 4:
SrPtRh | GGA-PBE | optimized geometry

Summary:
Calculated volume (Å³ per cell): 70
Space group: F-43m, No. 216
DFT formation energy (eV per atom): 0.08
Crystal system: cubic

Lattice parameters (Å, degrees): 4.6307 4.6307 4.6307 60.00 60.00 60.00
Closest atoms and distances in Å follow each position.
Sites, in units of the cell vectors:
Rh1 0.7500 0.7500 0.7500  4 Pt 2.84, 4 Sr 2.84
Pt1 0.5000 0.5000 0.5000  4 Rh 2.84
Sr1 0.0000 0.0000 0.0000  4 Rh 2.84

Entry 5:
MgGa3Rh4 | GGA-PBE | optimized geometry

Summary:
Calculated volume (Å³ per cell): 113
Space group: Pmmm, No. 47
DFT formation energy (eV per atom): -0.72
Crystal system: orthorhombic

Lattice parameters (Å, degrees): 3.0493 4.3056 8.6156 90.00 90.00 90.00
Closest atoms and distances in Å follow each position.
Sites, in units of the cell vectors:
Ga1 0.5000 0.0000 0.7558  8 Rh 2.60-2.68
Ga2 0.5000 0.5000 0.5000  8 Rh 2.56-2.64
Ga3 0.5000 0.0000 0.2442  8 Rh 2.60-2.68
Rh1 0.0000 0.5000 0.7391  6 Ga 2.56-2.64, 2 Mg 2.72
Rh2 0.0000 0.5000 0.2609  6 Ga 2.56-2.64, 2 Mg 2.72
Rh3 0.0000 0.0000 0.0000  4 Ga 2.60, 4 Mg 2.64
Rh4 0.0000 0.0000 0.5000  8 Ga 2.64-2.68
Mg1 0.5000 0.5000 0.0000  8 Rh 2.64-2.72

Entry 6:
Er2Ag4Te5 | GGA-PBE | optimized geometry

Summary:
Calculated volume (Å³ per cell): 326
E (eV per cell): -41.814
Space group: R-3m, No. 166
Crystal system: trigonal

Lattice parameters (Å, degrees): 4.4379 4.4379 19.2871 83.39 83.39 60.00
Closest atoms and distances in Å follow each position.
Sites, in units of the cell vectors:
Te1 0.6319 0.6319 0.1043  5 Ag 2.72-2.98
Te2 0.2272 0.2272 0.3184  3 Ag 2.91, 3 Er 3.09
Ag1 0.5845 0.5845 0.2464  4 Te 2.72-2.91
Er1 0.8638 0.8638 0.4086  6 Te 3.09-3.10
Ag2 0.4155 0.4155 0.7536  4 Te 2.72-2.91
Te3 0.7728 0.7728 0.6816  3 Ag 2.91, 3 Er 3.09
Ag3 0.3162 0.3162 0.0515  4 Te 2.75-2.98
Te4 0.5000 0.5000 0.5000  6 Er 3.10
Ag4 0.6838 0.6838 0.9485  4 Te 2.75-2.98
Er2 0.1362 0.1362 0.5914  6 Te 3.09-3.10
Te5 0.3681 0.3681 0.8957  5 Ag 2.72-2.98

Number 1: size of the total moment 0.00 μB/atom. Number 2: size of the total moment 0.00 μB/atom. Number 3: size of the total moment 0.12 μB/atom. Number 4: size of the total moment 0.24 μB/atom. Number 5: size of the total moment 0.00 μB/atom. Number 6: size of the total moment 0.00 μB/atom.